(1)
The following is a DFT calculation (PBE) of a relaxed structure of BaAlTe2.

Computed properties:
D(E_F) = 0.13 states/eV/atom
Magnetization = 0.0000 μB per atom
ΔE_f (raw) = -0.73 eV/atom
Energy = -3.721 eV per atom

a = 8.845 Å, b = 8.845 Å, c = 8.845 Å
α = 132.68°, β = 132.68°, γ = 69.16°
Atoms (fractional coordinates):
Ba 0.000 0.000 0.000
Ba 0.750 0.250 0.500
Al 0.250 0.750 0.500
Al 0.500 0.500 0.000
Te 0.202 0.625 0.077
Te 0.375 0.452 0.577
Te 0.548 0.125 0.923
Te 0.875 0.798 0.423

***

(2)
The following is a DFT calculation (PBE) of a relaxed structure of BaAlTe2.

Computed properties:
D(E_F) = 0.38 states/eV/atom
Magnetization = 0.0000 μB per atom
ΔE_f (raw) = -0.75 eV/atom
Energy = -3.734 eV per atom

a = 4.517 Å, b = 4.014 Å, c = 7.886 Å
α = 90.00°, β = 100.40°, γ = 90.00°
Atoms (fractional coordinates):
Ba 0.000 0.000 0.000
Al 0.500 0.000 0.500
Te 0.424 0.500 0.741
Te 0.576 0.500 0.259

***

(3)
The following is a DFT calculation (PBE) of a relaxed structure of BaAlTe2.

Computed properties:
D(E_F) = 0.11 states/eV/atom
Magnetization = 0.0000 μB per atom
ΔE_f (raw) = -0.64 eV/atom
Energy = -3.627 eV per atom

a = 5.502 Å, b = 5.502 Å, c = 4.454 Å
α = 90.00°, β = 90.00°, γ = 102.44°
Atoms (fractional coordinates):
Ba 0.000 0.000 0.000
Al 0.500 0.500 0.000
Te 0.000 0.500 0.500
Te 0.500 0.000 0.500

***

(4)
The following is a DFT calculation (PBE) of a relaxed structure of BaAlTe2.

Computed properties:
D(E_F) = 0.52 states/eV/atom
Magnetization = 0.0000 μB per atom
ΔE_f (raw) = -0.85 eV/atom
Energy = -3.836 eV per atom

a = 4.765 Å, b = 5.184 Å, c = 6.827 Å
α = 90.00°, β = 110.30°, γ = 90.00°
Atoms (fractional coordinates):
Ba 0.000 0.000 0.000
Al 0.347 0.500 0.693
Te 0.282 0.000 0.563
Te 0.551 0.500 0.104

***

- Look up the D(E_F) of the first one.
  0.13 states/eV/atom

***

- Look up the D(E_F) of the second one.
  0.38 states/eV/atom